Entry 1:
Here is RbY3Sn at its PBEsol-relaxed geometry from Alexandria via LeMat-Bulk. Energies are from SCAN.

Properties
Calculated total energy, eV per atom: -26.8942
Symmetry: Pm-3m (221)
Density of states at the Fermi level, states/eV/cell: 2.2
V, Å³/atom: 29.7
Magnetization, μB/f.u.: 0.00
E_form, eV per atom: 1.144

Lattice parameters (Å, degrees): 5.293 5.293 5.293 90.00 90.00 90.00
Sites, in units of the cell vectors:
Y 0.000 0.500 0.000
Y 0.000 0.000 0.500
Y 0.500 0.000 0.000
Sn 0.500 0.500 0.500
Rb 0.000 0.000 0.000



Entry 2:
Here is NiPS2 at its PBEsol-relaxed geometry from Alexandria via LeMat-Bulk. Energies are from SCAN.

Properties
Calculated total energy, eV per atom: -11.1968
Symmetry: R-3m (166)
Density of states at the Fermi level, states/eV/cell: 2.7
V, Å³/atom: 16.3
Magnetization, μB/f.u.: 0.61
Uncorrected formation energy, meV per atom: 260

Lattice parameters (Å, degrees): 3.340 3.340 7.038 76.27 76.27 60.00
Last column: magnetic moment on the atom in μB.
Sites, in units of the cell vectors:
Ni 0.000 0.000 0.000  0.51
S 0.899 0.899 0.302  0.04
S 0.101 0.101 0.698  0.04
P 0.500 0.500 0.500  0.02



Question: Which formula does entry 1 have?
Answer: RbY3Sn